# 1
# AgB4Pt

Crystalline AgB4Pt at its relaxed geometry (PBE-GGA, the Open Quantum Materials Database).

a = 3.033 Å, b = 3.033 Å, c = 7.789 Å
α = 90.00°, β = 90.00°, γ = 120.00°
Fractional positions:
Ag 0.000 0.000 0.000
B 0.333 0.667 0.274
B 0.333 0.667 0.726
B 0.667 0.333 0.274
B 0.667 0.333 0.726
Pt 0.000 0.000 0.500

Values from the calculation:
symmetry	P6/mmm, No. 191
energy above the most stable polymorph in this dataset	0.0117	eV/atom

---

# 2
# AgB4Pt

Crystalline AgB4Pt at its relaxed geometry (PBE-GGA, the Open Quantum Materials Database).

a = 5.123 Å, b = 5.123 Å, c = 5.123 Å
α = 149.61°, β = 112.76°, γ = 75.56°
Fractional positions:
Ag 0.000 0.000 0.000
B 0.115 0.763 0.352
B 0.411 0.763 0.648
B 0.589 0.237 0.352
B 0.885 0.237 0.648
Pt 0.500 0.500 0.000

Values from the calculation:
symmetry	Immm, No. 71
energy above the most stable polymorph in this dataset	0.0000	eV/atom

---

# 3
# AgBPt

Crystalline AgBPt at its relaxed geometry (PBE-GGA, the Open Quantum Materials Database).

a = 4.101 Å, b = 4.101 Å, c = 4.101 Å
α = 60.00°, β = 60.00°, γ = 60.00°
Fractional positions:
Ag 0.000 0.000 0.000
B 0.500 0.500 0.500
Pt 0.250 0.250 0.250

Values from the calculation:
symmetry	F-43m, No. 216
energy above the most stable polymorph in this dataset	0.0000	eV/atom

---

# 4
# AgB2Pt2

Crystalline AgB2Pt2 at its relaxed geometry (PBE-GGA, the Open Quantum Materials Database).

a = 4.986 Å, b = 4.986 Å, c = 4.986 Å
α = 133.98°, β = 133.98°, γ = 67.12°
Fractional positions:
Ag 0.000 0.000 0.000
B 0.395 0.395 0.000
B 0.605 0.605 0.000
Pt 0.250 0.750 0.500
Pt 0.750 0.250 0.500

Values from the calculation:
E_tot	-5.66	eV per atom
symmetry	I4/mmm, No. 139

---

# 5
# RbAgB

Crystalline RbAgB at its relaxed geometry (PBE-GGA, the Open Quantum Materials Database).

a = 4.853 Å, b = 4.853 Å, c = 4.853 Å
α = 60.00°, β = 60.00°, γ = 60.00°
Fractional positions:
Rb 0.000 0.000 0.000
Ag 0.500 0.500 0.500
B 0.750 0.750 0.750

Values from the calculation:
symmetry	F-43m, No. 216
energy above the most stable polymorph in this dataset	0.0000	eV/atom

---

# 6
# RbAgB4

Crystalline RbAgB4 at its relaxed geometry (PBE-GGA, the Open Quantum Materials Database).

a = 5.926 Å, b = 5.926 Å, c = 5.926 Å
α = 153.10°, β = 122.00°, γ = 65.06°
Fractional positions:
Rb 0.000 0.000 0.000
Ag 0.500 0.500 0.000
B 0.112 0.760 0.352
B 0.408 0.760 0.648
B 0.592 0.240 0.352
B 0.888 0.240 0.648

Values from the calculation:
symmetry	Immm, No. 71
energy above the most stable polymorph in this dataset	0.1097	eV/atom

---

# 7
# RbAgB

Crystalline RbAgB at its relaxed geometry (PBE-GGA, the Open Quantum Materials Database).

a = 4.953 Å, b = 4.953 Å, c = 4.953 Å
α = 60.00°, β = 60.00°, γ = 60.00°
Fractional positions:
Rb 0.000 0.000 0.000
Ag 0.750 0.750 0.750
B 0.500 0.500 0.500

Values from the calculation:
symmetry	F-43m, No. 216
energy above the most stable polymorph in this dataset	0.1387	eV/atom

---

# 8
# RbAgB4

Crystalline RbAgB4 at its relaxed geometry (PBE-GGA, the Open Quantum Materials Database).

a = 3.101 Å, b = 3.101 Å, c = 8.999 Å
α = 90.00°, β = 90.00°, γ = 120.00°
Fractional positions:
Rb 0.000 0.000 0.000
Ag 0.000 0.000 0.500
B 0.333 0.667 0.290
B 0.333 0.667 0.710
B 0.667 0.333 0.290
B 0.667 0.333 0.710

Values from the calculation:
symmetry	P6/mmm, No. 191
energy above the most stable polymorph in this dataset	0.0000	eV/atom

---

# 9
# RbAgB

Crystalline RbAgB at its relaxed geometry (PBE-GGA, the Open Quantum Materials Database).

a = 5.307 Å, b = 5.307 Å, c = 5.307 Å
α = 60.00°, β = 60.00°, γ = 60.00°
Fractional positions:
Rb 0.000 0.000 0.000
Ag 0.750 0.750 0.750
B 0.250 0.250 0.250

Values from the calculation:
symmetry	F-43m, No. 216
energy above the most stable polymorph in this dataset	0.4539	eV/atom

---

# 10
# ReAgB

Crystalline ReAgB at its relaxed geometry (PBE-GGA, the Open Quantum Materials Database).

a = 4.073 Å, b = 4.073 Å, c = 4.073 Å
α = 60.00°, β = 60.00°, γ = 60.00°
Fractional positions:
Re 0.000 0.000 0.000
Ag 0.750 0.750 0.750
B 0.250 0.250 0.250

Values from the calculation:
symmetry	F-43m, No. 216
energy above the most stable polymorph in this dataset	0.0000	eV/atom

---

# 11
# ReAgB4

Crystalline ReAgB4 at its relaxed geometry (PBE-GGA, the Open Quantum Materials Database).

a = 4.662 Å, b = 4.662 Å, c = 4.662 Å
α = 142.14°, β = 110.74°, γ = 81.74°
Fractional positions:
Re 0.000 0.000 0.000
Ag 0.500 0.500 0.000
B 0.081 0.744 0.338
B 0.406 0.744 0.662
B 0.594 0.256 0.338
B 0.919 0.256 0.662

Values from the calculation:
symmetry	Immm, No. 71
energy above the most stable polymorph in this dataset	0.1966	eV/atom

---

# 12
# Re2AgB

Crystalline Re2AgB at its relaxed geometry (PBE-GGA, the Open Quantum Materials Database).

a = 4.278 Å, b = 4.278 Å, c = 4.278 Å
α = 60.00°, β = 60.00°, γ = 60.00°
Fractional positions:
Re 0.000 0.000 0.000
Re 0.250 0.250 0.250
Ag 0.750 0.750 0.750
B 0.500 0.500 0.500

Values from the calculation:
E_tot	-7.47	eV per atom
symmetry	F-43m, No. 216